Entry 1:
VASP calculation (PBE) on an optimized crystal structure of ZrCuSe.

Cell: 8.657 4.963 5.240 Å, 90.00 98.02 90.00°
Sites, in units of the cell vectors:
Cu  0.445  0.000  0.276
Cu  0.555  0.000  0.724
Cu  0.445  0.500  0.776
Cu  0.555  0.500  0.224
Se  0.139  0.000  0.277
Se  0.861  0.000  0.723
Se  0.139  0.500  0.777
Se  0.861  0.500  0.223
Zr  0.261  0.000  0.805
Zr  0.739  0.000  0.195
Zr  0.261  0.500  0.305
Zr  0.739  0.500  0.695

Computed properties:
Uncorrected formation energy = -0.6437 eV per atom
Uncorrected energy = -6.02 eV per atom
Space-group type = C2/m, No. 12
Offset from the most stable computed form = 70 meV per atom
Crystal system = monoclinic

---

Entry 2:
VASP calculation (PBE) on an optimized crystal structure of ZrCuSe3.

Cell: 3.723 8.226 7.311 Å, 90.00 90.00 90.00°
Sites, in units of the cell vectors:
Zr  0.000  0.601  0.241
Zr  0.000  0.399  0.741
Cu  0.500  0.098  0.408
Cu  0.500  0.902  0.908
Se  0.500  0.586  0.533
Se  0.500  0.144  0.739
Se  0.000  0.280  0.384
Se  0.500  0.414  0.033
Se  0.000  0.720  0.884
Se  0.500  0.856  0.239

Computed properties:
Uncorrected formation energy = -0.7403 eV per atom
Uncorrected energy = -5.36 eV per atom
Space-group type = Pmc2_1, No. 26
Offset from the most stable computed form = 0 meV per atom
Crystal system = orthorhombic

---

Entry 3:
VASP calculation (PBE) on an optimized crystal structure of ZrCuSe2.

Cell: 4.946 4.946 4.946 Å, 134.12 119.01 79.57°
Sites, in units of the cell vectors:
Cu  0.250  0.750  0.500
Se  0.044  0.044  0.000
Se  0.456  0.456  0.000
Zr  0.750  0.250  0.500

Computed properties:
Uncorrected formation energy = -0.5115 eV per atom
Uncorrected energy = -5.41 eV per atom
Space-group type = Immm, No. 71
Crystal system = orthorhombic

---

Entry 4:
VASP calculation (PBE) on an optimized crystal structure of Zr2CuSe.

Cell: 4.901 4.901 4.901 Å, 126.44 126.44 79.17°
Sites, in units of the cell vectors:
Cu  0.250  0.750  0.500
Se  0.750  0.250  0.500
Zr  0.000  0.000  0.000
Zr  0.500  0.500  0.000

Computed properties:
Uncorrected formation energy = -0.4248 eV per atom
Uncorrected energy = -6.59 eV per atom
Space-group type = I4/mmm, No. 139
Crystal system = tetragonal

---

Entry 5:
VASP calculation (PBE) on an optimized crystal structure of ZrCuSe2.

Cell: 3.377 3.377 6.480 Å, 90.00 90.00 90.00°
Sites, in units of the cell vectors:
Cu  0.500  0.500  0.750
Se  0.000  0.000  0.007
Se  0.000  0.000  0.493
Zr  0.500  0.500  0.250

Computed properties:
Uncorrected formation energy = -0.5835 eV per atom
Uncorrected energy = -5.49 eV per atom
Space-group type = P4/mmm, No. 123
Crystal system = tetragonal

---

Entry 6:
VASP calculation (PBE) on an optimized crystal structure of ZrCu3Se.

Cell: 4.911 4.911 4.911 Å, 90.00 90.00 90.00°
Site moments in Bohr magnetons follow the coordinates.
Sites, in units of the cell vectors:
Cu  0.000  0.500  0.000  0.04
Cu  0.000  0.000  0.500  0.00
Cu  0.500  0.000  0.000  0.03
Se  0.500  0.500  0.500  0.05
Zr  0.000  0.000  0.000  0.23

Computed properties:
Uncorrected formation energy = 1.3602 eV per atom
Uncorrected energy = -3.50 eV per atom
Space-group type = Pm-3m, No. 221
Offset from the most stable computed form = 808 meV per atom
Crystal system = cubic

---

Entry 7:
VASP calculation (PBE) on an optimized crystal structure of Zr2Cu2Se.

Cell: 7.057 7.057 3.873 Å, 90.00 90.00 90.00°
Sites, in units of the cell vectors:
Cu  0.123  0.623  0.500
Cu  0.623  0.877  0.500
Cu  0.877  0.377  0.500
Cu  0.377  0.123  0.500
Se  0.000  0.000  0.000
Se  0.500  0.500  0.000
Zr  0.333  0.833  0.000
Zr  0.833  0.667  0.000
Zr  0.667  0.167  0.000
Zr  0.167  0.333  0.000

Computed properties:
Uncorrected formation energy = -0.3046 eV per atom
Uncorrected energy = -6.06 eV per atom
Space-group type = P4/mbm, No. 127
Offset from the most stable computed form = 10 meV per atom
Crystal system = tetragonal

---

Entry 8:
VASP calculation (PBE) on an optimized crystal structure of ZrCuSe.

Cell: 4.376 4.376 4.376 Å, 60.00 60.00 60.00°
Sites, in units of the cell vectors:
Cu  0.500  0.500  0.500
Se  0.750  0.750  0.750
Zr  0.000  0.000  0.000

Computed properties:
Uncorrected formation energy = -0.1323 eV per atom
Uncorrected energy = -5.51 eV per atom
Space-group type = F-43m, No. 216
Offset from the most stable computed form = 581 meV per atom
Crystal system = cubic

---

Entry 9:
VASP calculation (PBE) on an optimized crystal structure of ZrCuSe2.

Cell: 4.742 4.742 4.742 Å, 60.00 60.00 60.00°
Sites, in units of the cell vectors:
Cu  0.500  0.500  0.500
Se  0.000  0.000  0.000
Se  0.750  0.750  0.750
Zr  0.250  0.250  0.250

Computed properties:
Uncorrected formation energy = -0.0620 eV per atom
Uncorrected energy = -4.97 eV per atom
Space-group type = F-43m, No. 216
Crystal system = cubic

---

Entry 10:
VASP calculation (PBE) on an optimized crystal structure of ZrCuSe2.

Cell: 8.191 8.191 8.191 Å, 26.40 26.40 26.40°
Sites, in units of the cell vectors:
Cu  0.000  0.000  0.000
Se  0.903  0.903  0.903
Se  0.097  0.097  0.097
Zr  0.500  0.500  0.500

Computed properties:
Uncorrected formation energy = -0.7595 eV per atom
Uncorrected energy = -5.66 eV per atom
Space-group type = R-3m, No. 166
Crystal system = trigonal

---

Entry 11:
VASP calculation (PBE) on an optimized crystal structure of ZrCu2Se.

Cell: 8.747 8.747 8.747 Å, 20.13 20.13 20.13°
Sites, in units of the cell vectors:
Cu  0.994  0.994  0.994
Cu  0.506  0.506  0.506
Se  0.250  0.250  0.250
Zr  0.750  0.750  0.750

Computed properties:
Uncorrected formation energy = 0.1913 eV per atom
Uncorrected energy = -4.86 eV per atom
Space-group type = R-3m, No. 166
Crystal system = trigonal

---

Entry 12:
VASP calculation (PBE) on an optimized crystal structure of Zr2CuSe.

Cell: 5.636 5.636 5.636 Å, 145.75 131.37 60.83°
Sites, in units of the cell vectors:
Cu  0.481  0.481  0.000
Se  0.256  0.756  0.500
Zr  0.017  0.017  0.000
Zr  0.747  0.247  0.500

Computed properties:
Uncorrected formation energy = -0.3725 eV per atom
Uncorrected energy = -6.54 eV per atom
Space-group type = Imm2, No. 44
Crystal system = orthorhombic

---

Entry 13:
VASP calculation (PBE) on an optimized crystal structure of Zr2CuSe.

Cell: 3.787 3.787 6.753 Å, 73.70 73.70 60.07°
Sites, in units of the cell vectors:
Cu  0.750  0.750  0.750
Se  0.250  0.250  0.250
Zr  0.004  0.004  0.989
Zr  0.496  0.496  0.511

Computed properties:
Uncorrected formation energy = -0.5834 eV per atom
Uncorrected energy = -6.75 eV per atom
Space-group type = R-3m, No. 166
Crystal system = trigonal

---

Entry 14:
VASP calculation (PBE) on an optimized crystal structure of ZrCuSe3.

Cell: 4.729 4.729 4.729 Å, 90.00 90.00 90.00°
Sites, in units of the cell vectors:
Cu  0.000  0.000  0.000
Se  0.000  0.500  0.000
Se  0.000  0.000  0.500
Se  0.500  0.000  0.000
Zr  0.500  0.500  0.500

Computed properties:
Uncorrected formation energy = 0.0508 eV per atom
Uncorrected energy = -4.57 eV per atom
Space-group type = Pm-3m, No. 221
Offset from the most stable computed form = 791 meV per atom
Crystal system = cubic

---

Entry 15:
VASP calculation (PBE) on an optimized crystal structure of ZrCuSe2.

Cell: 4.715 4.715 4.715 Å, 60.00 60.00 60.00°
Sites, in units of the cell vectors:
Cu  0.000  0.000  0.000
Se  0.250  0.250  0.250
Se  0.750  0.750  0.750
Zr  0.500  0.500  0.500

Computed properties:
Uncorrected formation energy = -0.4464 eV per atom
Uncorrected energy = -5.35 eV per atom
Space-group type = Fm-3m, No. 225
Crystal system = cubic

---

Entry 16:
VASP calculation (PBE) on an optimized crystal structure of ZrCu2Se.

Cell: 4.266 3.281 4.872 Å, 90.12 90.00 90.00°
Sites, in units of the cell vectors:
Cu  0.000  0.251  0.990
Cu  0.000  0.249  0.510
Se  0.500  0.250  0.250
Zr  0.500  0.750  0.750

Computed properties:
Uncorrected formation energy = -0.2029 eV per atom
Uncorrected energy = -5.26 eV per atom
Space-group type = P2/m, No. 10
Crystal system = monoclinic

---

Entry 17:
VASP calculation (PBE) on an optimized crystal structure of ZrCu2Se.

Cell: 3.396 3.396 5.858 Å, 90.00 90.00 90.00°
Sites, in units of the cell vectors:
Cu  0.000  0.000  0.054
Cu  0.500  0.500  0.193
Se  0.000  0.000  0.515
Zr  0.500  0.500  0.738

Computed properties:
Uncorrected formation energy = -0.3197 eV per atom
Uncorrected energy = -5.38 eV per atom
Space-group type = P4mm, No. 99
Crystal system = tetragonal

---

Entry 18:
VASP calculation (PBE) on an optimized crystal structure of ZrCuSe3.

Cell: 5.214 5.214 5.214 Å, 90.00 90.00 90.00°
Sites, in units of the cell vectors:
Cu  0.500  0.500  0.500
Se  0.000  0.500  0.000
Se  0.000  0.000  0.500
Se  0.500  0.000  0.000
Zr  0.000  0.000  0.000

Computed properties:
Uncorrected formation energy = -0.0646 eV per atom
Uncorrected energy = -4.68 eV per atom
Space-group type = Pm-3m, No. 221
Offset from the most stable computed form = 676 meV per atom
Crystal system = cubic

---

Entry 19:
VASP calculation (PBE) on an optimized crystal structure of Zr2CuSe2.

Cell: 7.458 7.458 3.426 Å, 90.00 90.00 90.00°
Sites, in units of the cell vectors:
Cu  0.000  0.000  0.000
Cu  0.500  0.500  0.000
Se  0.356  0.856  0.000
Se  0.856  0.644  0.000
Se  0.644  0.144  0.000
Se  0.144  0.356  0.000
Zr  0.152  0.652  0.500
Zr  0.652  0.848  0.500
Zr  0.848  0.348  0.500
Zr  0.348  0.152  0.500

Computed properties:
Uncorrected formation energy = -0.6482 eV per atom
Uncorrected energy = -6.28 eV per atom
Space-group type = P4/mbm, No. 127
Offset from the most stable computed form = 84 meV per atom
Crystal system = tetragonal

---

Entry 20:
VASP calculation (PBE) on an optimized crystal structure of ZrCu2Se.

Cell: 7.308 7.308 5.787 Å, 50.84 50.84 90.00°
Sites, in units of the cell vectors:
Cu  0.594  0.125  0.250
Cu  0.156  0.625  0.250
Cu  0.375  0.406  0.750
Cu  0.875  0.844  0.750
Se  0.500  0.500  0.000
Se  0.250  0.750  0.500
Zr  0.000  0.000  0.000
Zr  0.750  0.250  0.500

Computed properties:
Uncorrected formation energy = -0.1853 eV per atom
Uncorrected energy = -5.24 eV per atom
Space-group type = I-42d, No. 122
Crystal system = tetragonal

---

Entry 21:
VASP calculation (PBE) on an optimized crystal structure of Zr2CuSe.

Cell: 7.212 7.212 5.948 Å, 52.68 52.68 90.00°
Sites, in units of the cell vectors:
Cu  0.500  0.500  0.000
Cu  0.250  0.750  0.500
Se  0.000  0.000  0.000
Se  0.750  0.250  0.500
Zr  0.626  0.125  0.250
Zr  0.124  0.625  0.250
Zr  0.375  0.374  0.750
Zr  0.875  0.876  0.750

Computed properties:
Uncorrected formation energy = -0.3306 eV per atom
Uncorrected energy = -6.50 eV per atom
Space-group type = I-42d, No. 122
Crystal system = tetragonal

---

Entry 22:
VASP calculation (PBE) on an optimized crystal structure of ZrCu2Se.

Cell: 3.815 3.815 4.510 Å, 90.00 90.00 90.01°
Sites, in units of the cell vectors:
Cu  0.000  0.000  0.000
Cu  0.500  0.500  0.000
Se  0.500  0.000  0.500
Zr  0.000  0.500  0.500

Computed properties:
Uncorrected formation energy = -0.2382 eV per atom
Uncorrected energy = -5.29 eV per atom
Space-group type = P4/mmm, No. 123
Crystal system = tetragonal

---

Entry 23:
VASP calculation (PBE) on an optimized crystal structure of ZrCuSe2.

Cell: 5.759 5.759 5.759 Å, 141.38 141.38 55.77°
Sites, in units of the cell vectors:
Cu  0.750  0.250  0.500
Se  0.000  0.000  0.000
Se  0.250  0.750  0.500
Zr  0.500  0.500  0.000

Computed properties:
Uncorrected formation energy = -0.4697 eV per atom
Uncorrected energy = -5.37 eV per atom
Space-group type = I-4m2, No. 119
Crystal system = tetragonal

---

Entry 24:
VASP calculation (PBE) on an optimized crystal structure of ZrCuSe.

Cell: 4.494 4.494 4.494 Å, 60.00 60.00 60.00°
Sites, in units of the cell vectors:
Cu  0.000  0.000  0.000
Se  0.500  0.500  0.500
Zr  0.750  0.750  0.750

Computed properties:
Uncorrected formation energy = -0.1946 eV per atom
Uncorrected energy = -5.57 eV per atom
Space-group type = F-43m, No. 216
Offset from the most stable computed form = 519 meV per atom
Crystal system = cubic

---

Entry 25:
VASP calculation (PBE) on an optimized crystal structure of Zr3CuSe6.

Cell: 6.469 8.404 8.404 Å, 101.18 90.00 90.00°
Sites, in units of the cell vectors:
Zr  0.488  0.928  0.733
Zr  0.988  0.733  0.928
Zr  0.370  0.397  0.603
Zr  0.870  0.603  0.397
Zr  0.988  0.072  0.267
Zr  0.488  0.267  0.072
Cu  0.027  0.227  0.773
Cu  0.527  0.773  0.227
Se  0.179  0.700  0.627
Se  0.679  0.627  0.700
Se  0.222  0.456  0.907
Se  0.722  0.907  0.456
Se  0.159  0.044  0.956
Se  0.654  0.228  0.772
Se  0.154  0.772  0.228
Se  0.659  0.956  0.044
Se  0.222  0.093  0.544
Se  0.722  0.544  0.093
Se  0.179  0.373  0.300
Se  0.679  0.300  0.373

Computed properties:
Uncorrected formation energy = -1.0734 eV per atom
Uncorrected energy = -6.14 eV per atom
Space-group type = Cmc2_1, No. 36
Crystal system = orthorhombic